{"formula": "NiPd", "functional": "PBE", "state": "relaxed", "dos_at_fermi_per_ev_atom": 1.86, "total_magnetization_mub_per_fu": 1.10, "formation_enthalpy_0k_ev_per_atom": 0.22, "space_group": "P4/m", "crystal_system": "tetragonal", "cell": [[7.484, 0.000, 0.000], [0.000, 7.484, 0.000], [0.000, 0.000, 4.139]], "species": ["Ni", "Ni", "Ni", "Ni", "Ni", "Ni", "Ni", "Ni", "Pd", "Pd", "Pd", "Pd", "Pd", "Pd", "Pd", "Pd"], "frac_coords": [[0.711, 0.603, 0.500], [0.289, 0.397, 0.500], [0.397, 0.711, 0.500], [0.603, 0.289, 0.500], [0.727, 0.453, 0.000], [0.273, 0.547, 0.000], [0.547, 0.727, 0.000], [0.453, 0.273, 0.000], [0.933, 0.333, 0.500], [0.067, 0.667, 0.500], [0.667, 0.933, 0.500], [0.333, 0.067, 0.500], [0.874, 0.776, 0.000], [0.126, 0.224, 0.000], [0.224, 0.874, 0.000], [0.776, 0.126, 0.000]]}

=====

{"formula": "SrMg2Re", "functional": "PBE", "state": "relaxed", "dos_at_fermi_per_ev_atom": 1.02, "total_magnetization_mub_per_fu": 0.72, "formation_enthalpy_0k_ev_per_atom": 0.68, "relative_energy_mev_per_atom": 150, "space_group": "Fm-3m", "crystal_system": "cubic", "cell": [[0.000, 3.533, 3.533], [3.533, 0.000, 3.533], [3.533, 3.533, 0.000]], "species": ["Re", "Mg", "Mg", "Sr"], "frac_coords": [[0.500, 0.500, 0.500], [0.250, 0.250, 0.250], [0.750, 0.750, 0.750], [0.000, 0.000, 0.000]]}

=====

{"formula": "TlRh4", "functional": "PBE", "state": "relaxed", "dos_at_fermi_per_ev_atom": 2.00, "total_magnetization_mub_per_fu": 1.74, "formation_enthalpy_0k_ev_per_atom": 0.31, "relative_energy_mev_per_atom": 202, "space_group": "R-3m", "crystal_system": "trigonal", "cell": [[4.769, -2.243, -0.002], [4.769, 2.243, -0.002], [3.715, 0.000, 3.738]], "species": ["Tl", "Rh", "Rh", "Rh", "Rh"], "frac_coords": [[0.000, 0.000, 0.000], [0.195, 0.195, 0.195], [0.404, 0.404, 0.404], [0.596, 0.596, 0.596], [0.805, 0.805, 0.805]]}

=====

{"formula": "LiReSe2", "functional": "PBE", "state": "relaxed", "dos_at_fermi_per_ev_atom": 0.69, "total_magnetization_mub_per_fu": 0.00, "relative_energy_mev_per_atom": 169, "raw_formation_energy_mev_per_atom": -72.7, "space_group": "P4/mmm", "crystal_system": "tetragonal", "cell": [[-0.541, -2.714, 1.478], [2.582, -1.221, -1.298], [3.644, 2.130, 5.244]], "species": ["Li", "Re", "Se", "Se"], "frac_coords": [[0.500, 0.500, 0.250], [0.500, 0.500, 0.750], [0.000, 0.000, 0.978], [0.000, 0.000, 0.522]]}

=====

{"formula": "Cd6SbAu10", "functional": "PBE", "state": "relaxed", "dos_at_fermi_per_ev_atom": 0.33, "total_magnetization_mub_per_fu": 0.00, "raw_formation_energy_mev_per_atom": -93.1, "space_group": "P-31m", "crystal_system": "trigonal", "cell": [[5.728, 0.000, 0.000], [0.000, 7.184, -4.148], [0.000, 0.000, 8.296]], "species": ["Cd", "Cd", "Cd", "Cd", "Cd", "Cd", "Sb", "Au", "Au", "Au", "Au", "Au", "Au", "Au", "Au", "Au", "Au"], "frac_coords": [[0.710, 0.382, 0.382], [0.710, 0.000, 0.618], [0.710, 0.618, 0.000], [0.290, 0.618, 0.618], [0.290, 0.000, 0.382], [0.290, 0.382, 0.000], [0.500, 0.000, 0.000], [0.821, 0.729, 0.729], [0.821, 0.000, 0.271], [0.821, 0.271, 0.000], [0.179, 0.271, 0.271], [0.179, 0.000, 0.729], [0.179, 0.729, 0.000], [0.500, 0.333, 0.667], [0.500, 0.667, 0.333], [0.000, 0.667, 0.333], [0.000, 0.333, 0.667]]}

=====

{"formula": "SrThSi2Pt4", "functional": "PBE", "state": "relaxed", "dos_at_fermi_per_ev_atom": 0.39, "total_magnetization_mub_per_fu": 0.00, "raw_formation_energy_mev_per_atom": -893.6, "space_group": "P4/mmm", "crystal_system": "tetragonal", "cell": [[-1.777, 3.831, 1.220], [-0.713, -1.613, 4.026], [7.805, 2.820, 2.512]], "species": ["Sr", "Th", "Si", "Si", "Pt", "Pt", "Pt", "Pt"], "frac_coords": [[0.000, 0.000, 0.500], [0.000, 0.000, 0.000], [0.500, 0.500, 0.353], [0.500, 0.500, 0.647], [0.000, 0.500, 0.230], [0.500, 0.000, 0.770], [0.500, 0.000, 0.230], [0.000, 0.500, 0.770]]}

=====

{"formula": "NpSi3Pt2", "functional": "PBE", "state": "relaxed", "dos_at_fermi_per_ev_atom": 1.92, "total_magnetization_mub_per_fu": 3.76, "relative_energy_mev_per_atom": 0, "raw_formation_energy_mev_per_atom": -546.9, "space_group": "C2/m", "crystal_system": "monoclinic", "cell": [[3.949, 0.000, -1.160], [-0.812, 6.506, -2.764], [0.143, 0.811, 7.787]], "species": ["Np", "Np", "Si", "Si", "Si", "Si", "Si", "Si", "Pt", "Pt", "Pt", "Pt"], "frac_coords": [[0.143, 0.108, 0.285], [0.857, 0.892, 0.715], [0.665, 0.444, 0.329], [0.974, 0.331, 0.947], [0.345, 0.186, 0.690], [0.655, 0.814, 0.310], [0.026, 0.669, 0.053], [0.335, 0.556, 0.671], [0.509, 0.197, 0.018], [0.491, 0.803, 0.982], [0.195, 0.666, 0.390], [0.805, 0.334, 0.610]]}

=====

{"formula": "VCuTe2N", "functional": "PBE", "state": "relaxed", "dos_at_fermi_per_ev_atom": 0.58, "total_magnetization_mub_per_fu": 0.39, "relative_energy_mev_per_atom": 0, "raw_formation_energy_mev_per_atom": 287.8, "space_group": "P4/mmm", "crystal_system": "tetragonal", "cell": [[5.347, 0.000, 0.000], [0.000, 5.347, 0.000], [0.000, 0.000, 3.591]], "species": ["N", "Te", "Te", "Cu", "V"], "frac_coords": [[0.000, 0.000, 0.500], [0.000, 0.500, 0.000], [0.500, 0.000, 0.000], [0.500, 0.500, 0.500], [0.000, 0.000, 0.000]]}

=====

{"formula": "Li2AcMgAu2", "functional": "PBE", "state": "relaxed", "dos_at_fermi_per_ev_atom": 0.45, "total_magnetization_mub_per_fu": 0.00, "formation_enthalpy_0k_ev_per_atom": -0.57, "space_group": "P-3m1", "crystal_system": "trigonal", "cell": [[-1.092, -2.291, -3.840], [4.354, 0.046, 1.493], [-1.263, -5.868, 3.861]], "species": ["Li", "Li", "Ac", "Mg", "Au", "Au"], "frac_coords": [[0.333, 0.667, 0.660], [0.667, 0.333, 0.340], [0.000, 0.000, 0.000], [0.000, 0.000, 0.500], [0.333, 0.667, 0.286], [0.667, 0.333, 0.714]]}

=====

{"formula": "InAuS2", "functional": "PBE", "state": "relaxed", "dos_at_fermi_per_ev_atom": 0.00, "total_magnetization_mub_per_fu": 0.00, "raw_formation_energy_mev_per_atom": -382.0, "space_group": "P2/c", "crystal_system": "monoclinic", "cell": [[6.559, 0.001, -0.001], [0.000, 6.793, 0.012], [0.001, -0.027, 4.920]], "species": ["S", "S", "S", "S", "Au", "Au", "In", "In"], "frac_coords": [[0.869, 0.536, 0.740], [0.869, 0.037, 0.271], [0.281, 0.036, 0.740], [0.281, 0.537, 0.271], [0.575, 0.537, 0.006], [0.575, 0.037, 0.006], [0.075, 0.287, 0.006], [0.075, 0.787, 0.006]]}

=====

Uncorrected energy for the records above, in order: -84.22; -14.61; -30.21; -21.62; -43.97; -51.26; -89.15; -26.38; -19.49; -31.60 eV for the cell shown